# GGA-PBE Rb2Be2Ni, relaxed
data_Rb2Be2Ni
_chemical_formula_sum 'Rb4 Be4 Ni2'
_cell_length_a 10.0106
_cell_length_b 10.0106
_cell_length_c 2.9943
_cell_angle_alpha 90.00
_cell_angle_beta 90.00
_cell_angle_gamma 90.00
_space_group_name_H-M_alt 'P 4/m b m'
_space_group_IT_number 127
_space_group_name_Hall '-P 4 2ab'
loop_
_atom_site_label
_atom_site_type_symbol
_atom_site_fract_x
_atom_site_fract_y
_atom_site_fract_z
Rb1 Rb 0.2078 0.2922 0.0000
Be1 Be 0.0742 0.5742 0.5000
Ni1 Ni 0.0000 0.0000 0.0000
# formation enthalpy at 0 K: 136 kJ per mole of atoms
# energy above the most stable polymorph in this dataset: 450 meV/atom